# 1
{"formula": "Pm4Te2AuSe", "functional": "PBE", "state": "optimized geometry", "raw_formation_energy_mev_per_atom": -1371, "spacegroup": "P2/m (10)", "magnetic_moment_mub_per_fu": 0.00, "cell": [[7.620, 0.000, 0.000], [0.000, 4.266, 0.000], [-2.449, 0.000, 7.248]], "species": ["Pm", "Pm", "Pm", "Pm", "Te", "Te", "Au", "Se"], "frac_coords": [[0.240, 0.000, 0.229], [0.259, 0.500, 0.769], [0.741, 0.500, 0.231], [0.760, 0.000, 0.771], [0.000, 0.000, 0.500], [0.500, 0.500, 0.500], [0.000, 0.500, 0.000], [0.500, 0.000, 0.000]]}

=====

# 2
{"formula": "Pm6Te3Au2Se", "functional": "PBE", "state": "optimized geometry", "raw_formation_energy_mev_per_atom": -1264, "spacegroup": "C2/m (12)", "magnetic_moment_mub_per_fu": 0.00, "cell": [[9.649, -2.142, 0.000], [9.649, 2.142, 0.000], [-2.403, 0.000, 8.602]], "species": ["Pm", "Pm", "Pm", "Pm", "Pm", "Pm", "Te", "Te", "Te", "Au", "Au", "Se"], "frac_coords": [[0.004, 0.004, 0.238], [0.332, 0.332, 0.421], [0.337, 0.337, 0.900], [0.663, 0.663, 0.100], [0.668, 0.668, 0.579], [0.996, 0.996, 0.762], [0.165, 0.165, 0.840], [0.500, 0.500, 0.500], [0.835, 0.835, 0.160], [0.168, 0.168, 0.341], [0.832, 0.832, 0.659], [0.500, 0.500, 0.000]]}

=====

# 3
{"formula": "Pm2TlAuSe4", "functional": "PBE", "state": "optimized geometry", "raw_formation_energy_mev_per_atom": -1263, "spacegroup": "Cmcm (63)", "magnetic_moment_mub_per_fu": 0.00, "cell": [[2.120, -7.163, 0.000], [2.120, 7.163, 0.000], [0.000, 0.000, 14.942]], "species": ["Pm", "Pm", "Pm", "Pm", "Tl", "Tl", "Au", "Au", "Se", "Se", "Se", "Se", "Se", "Se", "Se", "Se"], "frac_coords": [[0.131, 0.869, 0.570], [0.131, 0.869, 0.930], [0.869, 0.131, 0.070], [0.869, 0.131, 0.430], [0.374, 0.626, 0.750], [0.626, 0.374, 0.250], [0.344, 0.656, 0.250], [0.656, 0.344, 0.750], [0.047, 0.953, 0.750], [0.233, 0.767, 0.107], [0.233, 0.767, 0.393], [0.500, 0.500, 0.000], [0.500, 0.500, 0.500], [0.767, 0.233, 0.607], [0.767, 0.233, 0.893], [0.953, 0.047, 0.250]]}